1.
# Sm2AlGe6, relaxed, DFT PBE
# Density of states at the Fermi level (states/eV per atom): 0.368
# Raw total energy (Ha/atom): -0.183
data_Sm2AlGe6
_symmetry_space_group_name_H-M 'C 1 2/m 1'
_symmetry_Int_Tables_number 12
_cell_length_a 8.4014
_cell_length_b 8.6971
_cell_length_c 10.6459
_cell_angle_alpha 90.00
_cell_angle_beta 101.98
_cell_angle_gamma 90.00
loop_
_symmetry_equiv_pos_as_xyz
'x,y,z'
'-x,-y,-z'
'-x,y,-z'
'x,-y,z'
'x+1/2,y+1/2,z'
'-x+1/2,-y+1/2,-z'
'-x+1/2,y+1/2,-z'
'x+1/2,-y+1/2,z'
loop_
_atom_site_label
_atom_site_fract_x
_atom_site_fract_y
_atom_site_fract_z
_atom_site_occupancy
Sm1 0.0884 0.2473 0.3386 1
Al1 0.1977 0.0000 0.8015 1
Ge1 0.0081 0.5000 0.8828 1
Ge2 0.0707 0.0000 0.1166 1
Ge3 0.1358 0.5000 0.5878 1
Ge4 0.1475 0.0000 0.5598 1
Ge5 0.2182 0.2858 0.8830 1

2.
# NaPuCd2O6, relaxed, DFT PBE
# Raw formation energy (meV per atom): -1717.5
data_NaPuCd2O6
_symmetry_space_group_name_H-M 'R 3'
_symmetry_Int_Tables_number 146
_symmetry_space_group_name_Hall 'R 3'
_cell_length_a 5.7131
_cell_length_b 5.7131
_cell_length_c 15.3251
_cell_angle_alpha 90.00
_cell_angle_beta 90.00
_cell_angle_gamma 120.00
loop_
_atom_site_label
_atom_site_fract_x
_atom_site_fract_y
_atom_site_fract_z
_atom_site_occupancy
Na1 0.0000 0.0000 0.0000 1
Pu1 0.0000 0.0000 0.4869 1
Cd1 0.0000 0.0000 0.2781 1
Cd2 0.0000 0.0000 0.7898 1
O1 0.0219 0.3789 0.2255 1
O2 0.0596 0.6761 0.0722 1